The following is a PBE-GGA calculation of a relaxed structure of Dy2PaPt9, from Alexandria via LeMat-Bulk.

The calculation puts the density of states at the Fermi level at 2.49 states/eV per cell. The value obtained for the formation energy from the elements is -104 kJ per mole of atoms.

The structure belongs to space group P4/mmm (No. 123); the cell edges are 4.143, 4.143 and 12.382 Å and the angles 90.00°, 90.00° and 90.00°. The asymmetric unit holds Dy at (0.000, 0.000, 0.162), Pa at (0.000, 0.000, 0.500), Pt at (0.000, 0.500, 0.000), Pt at (0.000, 0.500, 0.336), Pt at (0.500, 0.500, 0.167) and Pt at (0.500, 0.500, 0.500).

The following is a PBE-GGA calculation of a relaxed structure of PrTm2Zn2Ga2, from Alexandria via LeMat-Bulk.

The calculation puts the density of states at the Fermi level at 12.35 states/eV per cell. The value obtained for the formation energy from the elements is -38 kJ per mole of atoms.

The structure belongs to space group R-3m (No. 166, hexagonal axes); the cell edges are 4.4707, 4.4707 and 27.5611 Å and the angles 90.00°, 90.00° and 120.00°. The asymmetric unit holds Pr at (0.0000, 0.0000, 0.0000), Tm at (0.0000, 0.0000, 0.1289), Zn at (0.0000, 0.0000, 0.4062) and Ga at (0.0000, 0.0000, 0.2555).

The following is a PBE-GGA calculation of a relaxed structure of RbNiRhS3, from Alexandria via LeMat-Bulk.

The calculation puts the density of states at the Fermi level at 7.33 states/eV per cell. The value obtained for the energy relative to the elements, uncorrected is -611 meV per atom.

The structure belongs to space group P2_1/m (No. 11); the cell edges are 8.379, 3.671 and 9.265 Å and the angles 90.00°, 115.38° and 90.00°. The asymmetric unit holds Rb at (0.237, 0.250, 0.257), Ni at (0.089, 0.250, 0.611), Rh at (0.318, 0.750, 0.847), S at (0.133, 0.250, 0.861), S at (0.199, 0.750, 0.552) and S at (0.486, 0.750, 0.133).

The following is a PBE-GGA calculation of a relaxed structure of ScTc3Ni, from Alexandria via LeMat-Bulk.

The calculation puts the density of states at the Fermi level at 9.29 states/eV per cell. The value obtained for the formation energy from the elements is 98 kJ per mole of atoms.

The structure belongs to space group Pm-3m (No. 221); the cell edges are 4.471, 4.471 and 4.471 Å and the angles 90.00°, 90.00° and 90.00°. The asymmetric unit holds Sc at (0.000, 0.000, 0.000), Tc at (0.000, 0.500, 0.500) and Ni at (0.500, 0.500, 0.500).

The following is a PBE-GGA calculation of a relaxed structure of CePr2Dy3Y6, from Alexandria via LeMat-Bulk.

The calculation puts the density of states at the Fermi level at 41.27 states/eV per cell. The value obtained for the formation energy from the elements is 4 kJ per mole of atoms.

The structure belongs to space group C2/m (No. 12); the cell edges are 6.225, 10.781 and 11.853 Å and the angles 90.00°, 100.08° and 90.00°. The asymmetric unit holds Ce at (0.000, 0.000, 0.000), Pr at (0.000, 0.333, 0.000), Dy at (0.000, 0.167, 0.500), Dy at (0.000, 0.500, 0.500), Y at (0.247, 0.000, 0.747) and Y at (0.250, 0.165, 0.252).

The following is a PBE-GGA calculation of a relaxed structure of CaLaPb2, from Alexandria via LeMat-Bulk.

The calculation puts the density of states at the Fermi level at 2.44 states/eV per cell. The value obtained for the formation energy from the elements is -53 kJ per mole of atoms.

The structure belongs to space group Pmmm (No. 47); the cell edges are 3.603, 4.625 and 7.400 Å and the angles 90.00°, 90.00° and 90.00°. The asymmetric unit holds Ca at (0.000, 0.000, 0.000), La at (0.000, 0.000, 0.500) and Pb at (0.500, 0.500, 0.237).

The following is a PBE-GGA calculation of a relaxed structure of SnHgI2, from Alexandria via LeMat-Bulk.

The calculation puts the density of states at the Fermi level at 0.00 states/eV per cell. The value obtained for the energy relative to the elements, uncorrected is -131 meV per atom.

The structure belongs to space group Fm-3m (No. 225); the cell edges are 8.151, 8.151 and 8.151 Å and the angles 90.00°, 90.00° and 90.00°. The asymmetric unit holds Sn at (0.000, 0.000, 0.000), Hg at (0.000, 0.000, 0.500) and I at (0.250, 0.250, 0.250).

The following is a PBE-GGA calculation of a relaxed structure of AlRuBr2, from Alexandria via LeMat-Bulk.

The calculation puts the density of states at the Fermi level at 4.34 states/eV per cell. The value obtained for the energy relative to the elements, uncorrected is 691 meV per atom.

The structure belongs to space group P4/mmm (No. 123); the cell edges are 4.863, 4.863 and 3.254 Å and the angles 90.00°, 90.00° and 90.00°. The asymmetric unit holds Al at (0.000, 0.000, 0.000), Ru at (0.500, 0.500, 0.000) and Br at (0.000, 0.500, 0.500).

The following is a PBE-GGA calculation of a relaxed structure of PuAg3Sb2, from Alexandria via LeMat-Bulk.

The calculation puts the density of states at the Fermi level at 23.26 states/eV per cell. The value obtained for the energy relative to the elements, uncorrected is -161 meV per atom.

The structure belongs to space group P-1 (No. 2); the cell edges are 4.396, 8.142 and 8.632 Å and the angles 99.94°, 104.74° and 105.65°. The asymmetric unit holds Pu at (0.044, 0.422, 0.167), Ag at (0.021, 0.903, 0.639), Ag at (0.337, 0.064, 0.110), Ag at (0.352, 0.854, 0.349), Sb at (0.322, 0.269, 0.876) and Sb at (0.367, 0.655, 0.579).

The following is a PBE-GGA calculation of a relaxed structure of RbAlTe3, from Alexandria via LeMat-Bulk.

The value obtained for the energy relative to the elements, uncorrected is -611 meV per atom.

The structure belongs to space group P2_1/c (No. 14); the cell edges are 6.639, 12.240 and 10.229 Å and the angles 90.00°, 102.86° and 90.00°. The asymmetric unit holds Rb at (0.186, 0.113, 0.326), Al at (0.386, 0.612, 0.545), Te at (0.184, 0.719, 0.920), Te at (0.220, 0.079, 0.956) and Te at (0.493, 0.137, 0.692).

The following is a PBE-GGA calculation of a relaxed structure of Ta4Hg2Sb, from Alexandria via LeMat-Bulk.

The calculation puts the density of states at the Fermi level at 21.21 states/eV per cell. The value obtained for the energy relative to the elements, uncorrected is 1711 meV per atom.

The structure belongs to space group I4/mmm (No. 139); the cell edges are 4.990, 4.990 and 13.947 Å and the angles 90.00°, 90.00° and 90.00°. The asymmetric unit holds Ta at (0.000, 0.000, 0.187), Ta at (0.000, 0.500, 0.000), Hg at (0.000, 0.000, 0.381) and Sb at (0.000, 0.000, 0.000).

The following is a PBE-GGA calculation of a relaxed structure of NaSrP2O6, from Alexandria via LeMat-Bulk.

The calculation puts the density of states at the Fermi level at 7.79 states/eV per cell. The value obtained for the energy relative to the elements, uncorrected is -2202 meV per atom.

The structure belongs to space group C2/c (No. 15); the cell edges are 10.216, 10.039 and 6.028 Å and the angles 90.00°, 107.66° and 90.00°. The asymmetric unit holds Na at (0.000, 0.186, 0.250), Sr at (0.000, 0.378, 0.750), P at (0.214, 0.073, 0.735), O at (0.128, 0.409, 0.175), O at (0.135, 0.200, 0.644) and O at (0.173, 0.044, 0.053).